No. 1
Entry from the Alexandria database: La2DyThS4 after structural relaxation (PBE).

Unit cell a=4.0426 b=7.0577 c=7.0485 alpha=109.22 beta=90.00 gamma=90.00
Element x y z (fractional)
S 0.0000 0.7532 0.2382
S 0.5000 0.2382 0.2333
S 0.0000 0.2468 0.7618
S 0.5000 0.7618 0.7667
Th 0.5000 0.5000 0.0000
La 0.0000 0.5000 0.5000
La 0.5000 0.0000 0.5000
Dy 0.0000 0.0000 0.0000

Calculated values
Magnetic moment   0.0 μB/f.u.
E   -6.8362 eV/atom


No. 2
Entry from the Alexandria database: LaGdMgTi after structural relaxation (PBE).

Unit cell a=5.3647 b=5.3647 c=5.3647 alpha=60.00 beta=60.00 gamma=60.00
Element x y z (fractional)
Mg 0.0000 0.0000 0.0000
Ti 0.5000 0.5000 0.5000
La 0.2500 0.2500 0.2500
Gd 0.7500 0.7500 0.7500

Calculated values
Magnetic moment   9.0 μB/f.u.
E   -6.9869 eV/atom
Formation enthalpy at 0 K   138 meV per atom


No. 3
Entry from the Alexandria database: PmNi12Ge4 after structural relaxation (PBE).

Unit cell a=6.8766 b=6.8766 c=6.8766 alpha=109.47 beta=109.47 gamma=109.47
Element x y z (fractional)
Pm 0.0000 0.0000 0.0000
Ge 0.5000 0.0000 0.0000
Ge 0.0000 0.0000 0.5000
Ge 0.5000 0.5000 0.5000
Ge 0.0000 0.5000 0.0000
Ni 0.8462 0.6451 0.4913
Ni 0.6451 0.4913 0.8462
Ni 0.4913 0.8462 0.6451
Ni 0.5087 0.1538 0.3549
Ni 0.7989 0.1538 0.6451
Ni 0.3549 0.5087 0.1538
Ni 0.2011 0.8462 0.3549
Ni 0.8462 0.3549 0.2011
Ni 0.3549 0.2011 0.8462
Ni 0.1538 0.3549 0.5087
Ni 0.6451 0.7989 0.1538
Ni 0.1538 0.6451 0.7989

Calculated values
Magnetic moment   0.0 μB/f.u.
E   -5.3299 eV/atom
Formation enthalpy at 0 K   117 meV per atom


Question: What is the formula in the first record?
Answer: La2DyThS4


What did the first record say?
Entry from the Alexandria database: La2DyThS4 after structural relaxation (PBE).

Unit cell a=4.0426 b=7.0577 c=7.0485 alpha=109.22 beta=90.00 gamma=90.00
Element x y z (fractional)
S 0.0000 0.7532 0.2382
S 0.5000 0.2382 0.2333
S 0.0000 0.2468 0.7618
S 0.5000 0.7618 0.7667
Th 0.5000 0.5000 0.0000
La 0.0000 0.5000 0.5000
La 0.5000 0.0000 0.5000
Dy 0.0000 0.0000 0.0000

Calculated values
Magnetic moment   0.0 μB/f.u.
E   -6.8362 eV/atom